This record from Alexandria via LeMat-Bulk describes a relaxed RbPmF crystal. The functional is PBE.

Calculated values
The density of states at the Fermi level comes out at 4.55 states/eV per cell. For the density, the calculation gives 4.71 g cm⁻³. The space-group type is Amm2. The raw formation energy is -1.32 eV/atom.

```
RbPmF
1.0
3.7131 0.0000 0.0000
-1.8565 3.1722 0.0000
0.0000 0.0000 14.9246
Pm F Rb
2 2 2
direct
0.2794 0.5589 0.1204 Pm
0.2794 0.5589 0.8796 Pm
0.2804 0.5608 0.5000 F
0.5954 0.1909 0.0000 F
0.6159 0.2319 0.6219 Rb
0.6159 0.2319 0.3781 Rb
```